{"formula": "BaCeVO6", "functional": "PBE+U", "state": "optimized geometry", "lattice_angstrom": [[-3.4353, -2.4459, -3.9057], [0.8600, -5.1921, -2.3109], [-3.3286, -2.1770, 4.0535]], "species": ["Ce", "O", "O", "Ba", "O", "V", "O", "O", "O"], "fractional_positions": [[0.6727, 0.6727, 0.5000], [0.0468, 0.5820, 0.7035], [0.3435, 0.6139, 0.3208], [0.9904, 0.9904, 0.0000], [0.6139, 0.3435, 0.6792], [0.3586, 0.3586, 0.5000], [0.3732, 0.0189, 0.7058], [0.5819, 0.0468, 0.2965], [0.0188, 0.3733, 0.2941]], "total_magnetization_mub_per_fu": 0.97, "sg": "No. 5", "energy_ev_per_atom": -7.42}